AlTl2Rh at its PBEsol-relaxed geometry, computed with meta-GGA SCAN.

```
4
Lattice="3.287 0.000 0.000 -0.071 4.970 0.000 -1.608 -2.485 4.814" Properties=species:S:1:pos:R:3 pbc="T T T"
Rh 1.608 2.485 0.000
Al 0.000 0.000 0.000
Tl -0.804 -1.242 2.407
Tl 0.804 1.242 2.407
```

total energy = -185.2 eV/cell
energy of formation from the pure elements = 0.270 eV/atom
calculated volume = 19.7 A^3/atom